Entry 1:
First-principles (PBE) data for a relaxed structure of Mn4P, as listed in the Alexandria database.

a b c (Å): 4.319 4.319 4.319
angles (deg): 90.00 90.00 90.00
Element x y z (fractional)
Mn: 0.000 0.000 0.000
Mn: 0.000 0.500 0.500
Mn: 0.500 0.000 0.500
Mn: 0.500 0.500 0.000
P: 0.500 0.500 0.500

Values from the calculation:
As for the symmetry: Pm-3m, No. 221.


Entry 2:
First-principles (PBE) data for a relaxed structure of TbGa2CuAu5, as listed in the Alexandria database.

a b c (Å): 4.849 4.849 7.673
angles (deg): 90.00 90.00 90.00
Element x y z (fractional)
Tb: 0.000 0.000 0.000
Ga: 0.500 0.500 0.345
Ga: 0.500 0.500 0.655
Cu: 0.000 0.000 0.500
Au: 0.000 0.500 0.244
Au: 0.000 0.500 0.756
Au: 0.500 0.000 0.244
Au: 0.500 0.000 0.756
Au: 0.500 0.500 0.000

Values from the calculation:
As for the symmetry: P4/mmm, No. 123.


Entry 3:
First-principles (PBE) data for a relaxed structure of LiReRu2, as listed in the Alexandria database.

a b c (Å): 4.738 4.738 4.621
angles (deg): 98.59 98.59 33.01
Element x y z (fractional)
Li: 0.000 0.000 0.000
Re: 0.235 0.235 0.715
Ru: 0.489 0.489 0.498
Ru: 0.759 0.759 0.216

Values from the calculation:
As for the symmetry: Cm, No. 8.


Entry 4:
First-principles (PBE) data for a relaxed structure of Tb5PmMg6, as listed in the Alexandria database.

a b c (Å): 5.392 7.602 8.526
angles (deg): 90.00 108.39 90.00
Element x y z (fractional)
Tb: 0.000 0.000 0.000
Tb: 0.334 0.500 0.665
Tb: 0.336 0.000 0.668
Tb: 0.664 0.000 0.332
Tb: 0.666 0.500 0.335
Pm: 0.000 0.500 0.000
Mg: 0.166 0.249 0.335
Mg: 0.166 0.751 0.335
Mg: 0.500 0.249 0.000
Mg: 0.500 0.751 0.000
Mg: 0.834 0.249 0.665
Mg: 0.834 0.751 0.665

Values from the calculation:
As for the symmetry: P2/m, No. 10.


Entry 5:
First-principles (PBE) data for a relaxed structure of ReW3I, as listed in the Alexandria database.

a b c (Å): 4.763 4.763 4.763
angles (deg): 90.00 90.00 90.00
Element x y z (fractional)
Re: 0.000 0.000 0.000
W: 0.000 0.500 0.500
W: 0.500 0.000 0.500
W: 0.500 0.500 0.000
I: 0.500 0.500 0.500

Values from the calculation:
The calculation puts the uncorrected formation energy at 3.27 eV per atom. As for the symmetry: Pm-3m, No. 221.


Entry 6:
First-principles (PBE) data for a relaxed structure of Sr2MgRe2N6, as listed in the Alexandria database.

a b c (Å): 7.282 7.282 7.282
angles (deg): 47.96 47.96 47.96
Element x y z (fractional)
Sr: 0.242 0.242 0.242
Sr: 0.758 0.758 0.758
Mg: 0.500 0.500 0.500
Re: 0.070 0.070 0.070
Re: 0.930 0.930 0.930
N: 0.235 0.736 0.736
N: 0.264 0.264 0.765
N: 0.264 0.765 0.264
N: 0.736 0.235 0.736
N: 0.736 0.736 0.235
N: 0.765 0.264 0.264

Values from the calculation:
The calculation puts the uncorrected formation energy at -0.50 eV per atom. As for the symmetry: R-3m, No. 166.


Entry 7:
First-principles (PBE) data for a relaxed structure of Rb2CuPbBr6, as listed in the Alexandria database.

a b c (Å): 7.754 7.815 13.511
angles (deg): 90.00 124.71 90.00
Element x y z (fractional)
Rb: 0.239 0.037 0.249
Rb: 0.239 0.463 0.749
Rb: 0.761 0.537 0.251
Rb: 0.761 0.963 0.751
Cu: 0.000 0.000 0.500
Cu: 0.000 0.500 0.000
Pb: 0.500 0.000 0.000
Pb: 0.500 0.500 0.500
Br: 0.176 0.233 0.974
Br: 0.176 0.267 0.474
Br: 0.242 0.703 0.975
Br: 0.242 0.797 0.475
Br: 0.286 0.003 0.736
Br: 0.286 0.497 0.236
Br: 0.714 0.503 0.764
Br: 0.714 0.997 0.264
Br: 0.758 0.203 0.525
Br: 0.758 0.297 0.025
Br: 0.824 0.733 0.526
Br: 0.824 0.767 0.026

Values from the calculation:
The calculation puts the uncorrected formation energy at -1.04 eV per atom. As for the symmetry: P2_1/c, No. 14.


Entry 8:
First-principles (PBE) data for a relaxed structure of SrAc2Au, as listed in the Alexandria database.

a b c (Å): 7.125 7.125 10.799
angles (deg): 90.00 90.00 144.95
Element x y z (fractional)
Sr: 0.079 0.921 0.750
Sr: 0.921 0.079 0.250
Ac: 0.358 0.642 0.565
Ac: 0.358 0.642 0.935
Ac: 0.642 0.358 0.065
Ac: 0.642 0.358 0.435
Au: 0.234 0.766 0.250
Au: 0.766 0.234 0.750

Values from the calculation:
As for the symmetry: Cmcm, No. 63.


Entry 9:
First-principles (PBE) data for a relaxed structure of PaTi2N, as listed in the Alexandria database.

a b c (Å): 2.814 2.814 7.413
angles (deg): 90.00 90.00 90.00
Element x y z (fractional)
Pa: 0.000 0.000 0.000
Ti: 0.500 0.500 0.335
Ti: 0.500 0.500 0.665
N: 0.000 0.000 0.500

Values from the calculation:
The calculation puts the uncorrected formation energy at -0.24 eV per atom. As for the symmetry: P4/mmm, No. 123.


Entry 10:
First-principles (PBE) data for a relaxed structure of V5ZnNi4, as listed in the Alexandria database.

a b c (Å): 3.142 3.142 12.724
angles (deg): 90.00 90.00 90.00
Element x y z (fractional)
V: 0.000 0.000 0.000
V: 0.000 0.000 0.197
V: 0.000 0.000 0.387
V: 0.000 0.000 0.613
V: 0.000 0.000 0.803
Zn: 0.500 0.500 0.500
Ni: 0.500 0.500 0.098
Ni: 0.500 0.500 0.295
Ni: 0.500 0.500 0.705
Ni: 0.500 0.500 0.902

Values from the calculation:
As for the symmetry: P4/mmm, No. 123.


Entry 11:
First-principles (PBE) data for a relaxed structure of NaH6PdPt, as listed in the Alexandria database.

a b c (Å): 4.967 4.967 4.266
angles (deg): 90.00 90.00 120.00
Element x y z (fractional)
Na: 0.000 0.000 0.000
H: 0.376 0.015 0.690
H: 0.376 0.361 0.310
H: 0.639 0.015 0.310
H: 0.639 0.624 0.690
H: 0.985 0.361 0.690
H: 0.985 0.624 0.310
Pd: 0.333 0.667 0.500
Pt: 0.667 0.333 0.500

Values from the calculation:
As for the symmetry: P312, No. 149.


Entry 12:
First-principles (PBE) data for a relaxed structure of NiPb3Se, as listed in the Alexandria database.

a b c (Å): 5.666 5.666 5.666
angles (deg): 90.00 90.00 90.00
Element x y z (fractional)
Ni: 0.000 0.000 0.000
Pb: 0.000 0.500 0.500
Pb: 0.500 0.000 0.500
Pb: 0.500 0.500 0.000
Se: 0.500 0.500 0.500

Values from the calculation:
The calculation puts the uncorrected formation energy at 0.80 eV per atom. As for the symmetry: Pm-3m, No. 221.


Total DFT energy (no corrections)
In order: -8.014, -3.654, -8.015, -3.212, -7.300, -7.752, -3.021, -3.658, -8.641, -6.991, -3.743, -3.281
Unit: eV/atom
Calculated density
In order: 5.2, 12.4, 11.8, 5.4, 13.3, 5.6, 4.5, 7.8, 9.6, 7.3, 6.0, 6.9
Unit: g cm⁻³